## a
A plane-wave DFT calculation with PBE-GGA was carried out for an optimized crystal structure of Cd2Sn2Au.

a b c (Å): 3.9516 3.9516 16.5881
angles (deg): 90.00 90.00 90.00
Closest atoms and distances in Å follow each position.
Space group I4/mmm (No. 139)
Inequivalent atoms, fractional coordinates:
Cd  0.0000  0.5000  0.2500  4 Cd 2.79
Sn  0.0000  0.0000  0.0906  1 Sn 3.01, 4 Au 3.17, 4 Cd 3.30
Au  0.0000  0.0000  0.5000  8 Sn 3.17

=====

## b
A plane-wave DFT calculation with PBE-GGA was carried out for an optimized crystal structure of Cd2Sn2Au.

a b c (Å): 7.3566 7.3566 4.5676
angles (deg): 90.00 90.00 90.00
Closest atoms and distances in Å follow each position.
Space group P4/mbm (No. 127)
Inequivalent atoms, fractional coordinates:
Cd  0.1420  0.3580  0.0000  2 Au 2.83, 1 Cd 2.95, 2 Sn 3.04
Sn  0.1653  0.6653  0.5000  6 Cd 3.04-3.22
Au  0.0000  0.0000  0.0000  4 Cd 2.83

=====

Top of the stability list: b, leading by 81 meV per atom.